# SCAN ZrAlNi2, single point on PBEsol structure
# * DFT total energy: -18.13 eV/atom
# * energy of formation: -433 meV/atom
# * theoretical density: 6.9 g/cm3
# * space-group type: No. 8
# * total moment: 0.000 μB/cell
data_ZrAlNi2
_symmetry_space_group_name_H-M 'P 1'
_symmetry_Int_Tables_number 1
_cell_length_a 3.001
_cell_length_b 4.343
_cell_length_c 4.707
_cell_angle_alpha 102.78
_cell_angle_beta 108.59
_cell_angle_gamma 90.00
loop_
_symmetry_equiv_pos_as_xyz
'x,y,z'
loop_
_atom_site_label
_atom_site_type_symbol
_atom_site_fract_x
_atom_site_fract_y
_atom_site_fract_z
Ni1 Ni 0.999 0.960 0.997
Ni2 Ni 0.742 0.266 0.485
Al1 Al 0.264 0.819 0.527
Zr1 Zr 0.495 0.455 0.990

***

# SCAN ZrAl2Ni, single point on PBEsol structure
# * DFT total energy: -16.23 eV/atom
# * energy of formation: -633 meV/atom
# * theoretical density: 5.6 g/cm3
# * space-group type: No. 123
# * total moment: 0.000 μB/cell
data_ZrAl2Ni
_symmetry_space_group_name_H-M 'P 1'
_symmetry_Int_Tables_number 1
_cell_length_a 2.938
_cell_length_b 2.938
_cell_length_c 6.996
_cell_angle_alpha 90.00
_cell_angle_beta 90.00
_cell_angle_gamma 90.00
loop_
_symmetry_equiv_pos_as_xyz
'x,y,z'
loop_
_atom_site_label
_atom_site_type_symbol
_atom_site_fract_x
_atom_site_fract_y
_atom_site_fract_z
Ni1 Ni 0.500 0.500 0.000
Al1 Al 0.000 0.000 0.802
Al2 Al 0.000 0.000 0.198
Zr1 Zr 0.500 0.500 0.500

***

What is the formula in the first record?
ZrAlNi2